# 1
YScBe2O: single point on PBEsol structure, SCAN.

a = 4.6297 Å, b = 4.6297 Å, c = 5.5655 Å
α = 90.00°, β = 90.00°, γ = 90.00°
Space group P4/mmm (No. 123)
Inequivalent atoms, fractional coordinates:
Y (0.0000, 0.0000, 0.0000) [1 per cell]
Sc (0.0000, 0.0000, 0.5000) [1 per cell]
Be (0.0000, 0.5000, 0.0000) [2 per cell]
O (0.5000, 0.5000, 0.5000) [1 per cell]

Results
**Formation energy without anion corrections**: 1.974 eV per atom
**Density**: 2337 kg/m³
**D(E_F)**: 3.96 states/eV per cell

# 2
ZnCdH2: single point on PBEsol structure, SCAN.

a = 5.6223 Å, b = 5.6223 Å, c = 5.6223 Å
α = 90.00°, β = 90.00°, γ = 90.00°
Space group Fm-3m (No. 225)
Inequivalent atoms, fractional coordinates:
Zn (0.0000, 0.0000, 0.0000) [4 per cell]
Cd (0.0000, 0.0000, 0.5000) [4 per cell]
H (0.2500, 0.2500, 0.2500) [8 per cell]

Results
**E**: -11.958 eV per atom
**Density**: 6721 kg/m³
**D(E_F)**: 2.77 states/eV per cell

# 3
PRuICl2: single point on PBEsol structure, SCAN.

a = 4.7029 Å, b = 4.7029 Å, c = 4.6462 Å
α = 90.00°, β = 90.00°, γ = 90.00°
Space group P4/mmm (No. 123)
Inequivalent atoms, fractional coordinates:
P (0.0000, 0.0000, 0.0000) [1 per cell]
Ru (0.0000, 0.0000, 0.5000) [1 per cell]
I (0.5000, 0.5000, 0.0000) [1 per cell]
Cl (0.0000, 0.5000, 0.5000) [2 per cell]

Results
**Formation energy without anion corrections**: 0.166 eV per atom
**Density**: 5330 kg/m³
**D(E_F)**: 3.69 states/eV per cell

# 4
CaYIr: single point on PBEsol structure, SCAN.

a = 6.7193 Å, b = 6.7193 Å, c = 6.7193 Å
α = 90.00°, β = 90.00°, γ = 90.00°
Space group F-43m (No. 216)
Inequivalent atoms, fractional coordinates:
Ca (0.0000, 0.0000, 0.0000) [4 per cell]
Y (0.0000, 0.0000, 0.5000) [4 per cell]
Ir (0.2500, 0.2500, 0.7500) [4 per cell]

Results
**Polymorph energy (0 for the lowest one)**: 0 meV per atom
**Energy of formation**: -0.621 eV/atom
**Density**: 7033 kg/m³
**D(E_F)**: 1.63 states/eV per cell